[1]
GGA+U Na2PuCr2O6, relaxed; electronic total energy = -7.7567 eV per atom; space group = C2/m (12)
1.0
2.719 -4.764 0.000
2.719 4.764 0.000
-2.009 0.000 5.602
Na Pu Cr O
2 1 2 6
Direct
0.174 0.826 0.000 Na
0.826 0.174 0.000 Na
0.000 0.000 0.500 Pu
0.334 0.666 0.500 Cr
0.666 0.334 0.500 Cr
0.062 0.422 0.691 O
0.277 0.277 0.307 O
0.422 0.062 0.691 O
0.578 0.938 0.309 O
0.723 0.723 0.693 O
0.938 0.578 0.309 O

[2]
GGA+U NaPuCrO4, relaxed; electronic total energy = -8.4697 eV per atom; space group = Imma (74)
1.0
-3.131 3.489 4.500
3.131 -3.489 4.500
3.131 3.489 -4.500
Na Pu Cr O
2 2 2 8
Direct
0.383 0.133 0.250 Na
0.617 0.867 0.750 Na
0.000 0.500 0.500 Pu
0.500 0.500 0.000 Pu
0.000 0.000 0.500 Cr
0.000 0.500 0.000 Cr
0.188 0.742 0.446 O
0.204 0.258 0.946 O
0.229 0.258 0.529 O
0.229 0.701 0.971 O
0.771 0.299 0.029 O
0.771 0.742 0.471 O
0.796 0.742 0.054 O
0.812 0.258 0.554 O

[3]
GGA+U RbNaCrO4, relaxed; electronic total energy = -5.8548 eV per atom; space group = I-4 (82)
1.0
6.063 0.000 0.000
0.000 6.063 0.000
0.000 0.000 8.601
Rb Na Cr O
2 2 2 8
Direct
0.000 0.000 0.000 Rb
0.500 0.500 0.500 Rb
0.000 0.000 0.500 Na
0.500 0.500 0.000 Na
0.000 0.500 0.750 Cr
0.500 0.000 0.250 Cr
0.112 0.304 0.639 O
0.196 0.612 0.861 O
0.304 0.888 0.361 O
0.388 0.196 0.139 O
0.612 0.804 0.139 O
0.696 0.112 0.361 O
0.804 0.388 0.861 O
0.888 0.696 0.639 O

Look up the electronic total energy of the third one.
-5.8548 eV per atom